Computed, not measured: a relaxed ErSc7 crystal at the PBE level of DFT.

abc: 6.579 6.579 6.579
angles: 60.00 60.00 60.00
Element x y z (fractional)
Er (0.000, 0.000, 0.000)
Sc (0.500, 0.500, 0.000)
Sc (0.500, 0.000, 0.500)
Sc (0.000, 0.500, 0.500)
Sc (0.500, 0.000, 0.000)
Sc (0.000, 0.500, 0.000)
Sc (0.000, 0.000, 0.500)
Sc (0.500, 0.500, 0.500)

Summary:
**Energy relative to the lowest polymorph listed for this composition**: 0.18 eV per formula unit
**Total DFT energy (no corrections)**: -48.449 eV/cell
**Magnetic moment**: 0.00 μB/f.u.
**Energy of formation**: 0.054 eV per atom

=====

Computed, not measured: a relaxed Ag2HgIr crystal at the PBE level of DFT.

abc: 5.622 5.622 5.622
angles: 148.75 128.82 61.20
Element x y z (fractional)
Ir (0.250, 0.750, 0.500)
Hg (0.494, 0.494, 0.000)
Ag (0.005, 0.005, 0.000)
Ag (0.751, 0.251, 0.500)

Summary:
**Total DFT energy (no corrections)**: -13.248 eV/cell
**Magnetic moment**: 0.00 μB/f.u.
**Energy of formation**: 0.404 eV per atom

=====

Computed, not measured: a relaxed SnTe2Pt crystal at the PBE level of DFT.

abc: 9.476 9.476 9.476
angles: 24.02 24.02 24.02
Element x y z (fractional)
Te (0.886, 0.886, 0.886)
Te (0.114, 0.114, 0.114)
Sn (0.000, 0.000, 0.000)
Pt (0.500, 0.500, 0.500)

Summary:
**Total DFT energy (no corrections)**: -16.851 eV/cell
**Magnetic moment**: 0.00 μB/f.u.
**ΔE_f (raw)**: -0.13 eV per atom